(1)
Below is a relaxed structure of MgB, with properties calculated at the GGA-PBE level.

a = 3.454 Å, b = 3.454 Å, c = 3.454 Å
α = 60.00°, β = 60.00°, γ = 60.00°
Positions (direct):
Mg (0.000, 0.000, 0.000)
B (0.500, 0.500, 0.500)

Output
Energy above the lowest structure with this stoichiometry ... 2.39 eV/f.u.
SG ... Fm-3m (225)

(2)
Below is a relaxed structure of MgB7, with properties calculated at the GGA-PBE level.

a = 3.919 Å, b = 3.919 Å, c = 4.244 Å
α = 90.27°, β = 90.27°, γ = 76.36°
Positions (direct):
Mg (0.000, 0.000, 0.000)
B (0.187, 0.578, 0.376)
B (0.290, 0.290, 0.690)
B (0.422, 0.813, 0.624)
B (0.500, 0.500, 0.000)
B (0.578, 0.187, 0.376)
B (0.710, 0.710, 0.310)
B (0.813, 0.422, 0.624)

Output
Energy above the lowest structure with this stoichiometry ... 4.00 eV/f.u.
SG ... C2/m (12)

(3)
Below is a relaxed structure of MgB8, with properties calculated at the GGA-PBE level.

a = 4.798 Å, b = 4.798 Å, c = 3.309 Å
α = 90.65°, β = 90.65°, γ = 104.07°
Positions (direct):
Mg (0.000, 0.000, 0.000)
B (0.049, 0.462, 0.260)
B (0.306, 0.694, 0.000)
B (0.417, 0.417, 0.280)
B (0.462, 0.049, 0.260)
B (0.538, 0.951, 0.740)
B (0.583, 0.583, 0.720)
B (0.694, 0.306, 0.000)
B (0.951, 0.538, 0.740)

Output
SG ... C2/m (12)

(4)
Below is a relaxed structure of MgB, with properties calculated at the GGA-PBE level.

a = 3.079 Å, b = 3.518 Å, c = 5.599 Å
α = 90.00°, β = 90.00°, γ = 90.00°
Positions (direct):
Mg (0.250, 0.000, 0.244)
Mg (0.750, 0.000, 0.756)
B (0.250, 0.500, 0.537)
B (0.750, 0.500, 0.463)

Output
Energy above the lowest structure with this stoichiometry ... 0.36 eV/f.u.
SG ... Pmma (51)

(5)
Below is a relaxed structure of MgB, with properties calculated at the GGA-PBE level.

a = 3.610 Å, b = 3.123 Å, c = 4.735 Å
α = 90.00°, β = 112.25°, γ = 90.00°
Positions (direct):
Mg (0.145, 0.250, 0.293)
Mg (0.855, 0.750, 0.707)
B (0.459, 0.250, 0.920)
B (0.541, 0.750, 0.080)

Output
Energy above the lowest structure with this stoichiometry ... 0.25 eV/f.u.
SG ... P2_1/m (11)

(6)
Below is a relaxed structure of MgB, with properties calculated at the GGA-PBE level.

a = 5.645 Å, b = 5.645 Å, c = 4.270 Å
α = 90.00°, β = 90.00°, γ = 90.00°
Positions (direct):
Mg (0.216, 0.216, 0.000)
Mg (0.284, 0.716, 0.500)
Mg (0.716, 0.284, 0.500)
Mg (0.784, 0.784, 0.000)
B (0.095, 0.095, 0.500)
B (0.405, 0.595, 0.000)
B (0.595, 0.405, 0.000)
B (0.905, 0.905, 0.500)

Output
Energy above the lowest structure with this stoichiometry ... 1.34 eV/f.u.
SG ... P4_2/mnm (136)

Number 1: DFT total energy -3.034 eV per atom, formation energy 1.102 eV/atom. Number 2: DFT total energy -5.675 eV per atom, formation energy 0.367 eV/atom. Number 3: DFT total energy -5.942 eV per atom, formation energy 0.171 eV/atom. Number 4: DFT total energy -4.049 eV per atom, formation energy 0.087 eV/atom. Number 5: DFT total energy -4.104 eV per atom, formation energy 0.032 eV/atom. Number 6: DFT total energy -3.559 eV per atom, formation energy 0.577 eV/atom.